[1]
Material: Ac5ThS6
Method: DFT, PBE-GGA
State: relaxed

## Properties
V ... 327.42 Å³/cell
Formation energy (no corrections) ... -45.16 kcal/mol of atoms
N(E_F) ... 0.496 states/eV per atom
Total energy ... -76.23 eV per cell

Geometry as extended XYZ:
```
12
Lattice="3.678 -6.391 0.000 3.678 6.391 0.000 -2.477 0.000 6.966" Properties=species:S:1:pos:R:3 pbc="T T T"
Ac 0.000 0.000 0.000
Ac 2.439 4.271 3.483
Ac 3.678 2.177 0.000
Ac 3.678 -2.177 0.000
Ac 2.439 -4.271 3.483
Th 2.439 0.000 3.483
S 1.261 2.064 1.802
S 0.064 0.000 5.203
S 1.261 -2.064 1.802
S 3.617 2.064 5.164
S 4.814 0.000 1.763
S 3.617 -2.064 5.164
```

***

[2]
Material: CrFe2Cu
Method: DFT, PBE-GGA
State: relaxed

## Properties
V ... 46.25 Å³/cell
N(E_F) ... 1.163 states/eV per atom
Total energy ... -29.85 eV per cell

Geometry as extended XYZ:
```
4
Lattice="2.423 0.000 0.000 0.000 4.025 0.000 -0.834 0.000 4.742" Properties=species:S:1:pos:R:3 pbc="T T T"
Cr 0.000 0.000 0.000
Fe -0.077 2.013 3.577
Fe 1.665 2.013 1.166
Cu 0.794 0.000 2.371
```

***

> What is the formula in the second record?

CrFe2Cu